{"formula": "Nd2FeHg", "functional": "PBE-GGA", "state": "optimized geometry", "formation_enthalpy_0k_ev_per_atom": -0.0896, "total_magnetization_mub_per_fu": 1.49, "spacegroup": "P4/mmm (123)", "energy_ev_per_atom": -4.665, "cell": [[3.5880, 0.0000, 0.0000], [0.0000, 3.5880, 0.0000], [0.0000, 0.0000, 7.7967]], "species": ["Nd", "Nd", "Fe", "Hg"], "fractional_positions": [[0.0000, 0.0000, 0.2184], [0.0000, 0.0000, 0.7816], [0.5000, 0.5000, 0.0000], [0.5000, 0.5000, 0.5000]]}